Here is crystalline GaCo2AsO6 at its relaxed geometry from the Alexandria database. Energies are from PBE+U.

Total DFT energy (no corrections) in eV for the cell shown: -58.37
Size of the total moment in μB per formula unit: 6.0

CIF file:
```
data_GaCo2AsO6
_chemical_formula_sum 'Ga1 Co2 As1 O6'
_cell_length_a 4.994
_cell_length_b 4.994
_cell_length_c 4.805
_cell_angle_alpha 90.00
_cell_angle_beta 90.00
_cell_angle_gamma 90.00
_space_group_name_H-M_alt 'P 4 m m'
_space_group_IT_number 99
loop_
_space_group_symop_operation_xyz
'x,y,z'
'-y,x,z'
'-x,-y,z'
'y,-x,z'
'-x,y,z'
'y,x,z'
'x,-y,z'
'-y,-x,z'
loop_
_atom_site_label
_atom_site_type_symbol
_atom_site_fract_x
_atom_site_fract_y
_atom_site_fract_z
Ga1 Ga 0.000 0.000 0.000
Co1 Co 0.000 0.500 0.410
As1 As 0.500 0.500 0.041
O1 O 0.000 0.000 0.629
O2 O 0.257 0.257 0.179
O3 O 0.500 0.500 0.687
```